# 1
Compound: HoInPdRu
Source: the Alexandria database
Functional: GGA-PBE
Structure: relaxed

Summary:
Fermi-level density of states	0.09	states/eV/atom
E above lowest polymorph	0.0	meV/atom

Lattice parameters (Å, degrees): 3.536 4.534 4.606 90.00 90.00 90.00
Space group Pmmm (No. 47)
One atom of each set of equivalent atoms:
Ho: 0.000 0.000 0.000 (multiplicity 1)
In: 0.000 0.500 0.500 (multiplicity 1)
Pd: 0.500 0.000 0.500 (multiplicity 1)
Ru: 0.500 0.500 0.000 (multiplicity 1)

---

# 2
Compound: Li2ErAg8
Source: the Alexandria database
Functional: GGA-PBE
Structure: relaxed

Summary:
Fermi-level density of states	0.47	states/eV/atom
total energy	-3.003	eV/atom

Lattice parameters (Å, degrees): 15.111 4.104 6.744 90.00 107.36 90.00
Space group C2/m (No. 12)
One atom of each set of equivalent atoms:
Li: 0.221 0.000 0.144 (multiplicity 4)
Er: 0.000 0.500 0.500 (multiplicity 2)
Ag: 0.047 0.000 0.220 (multiplicity 4)
Ag: 0.099 0.500 0.964 (multiplicity 4)
Ag: 0.146 0.000 0.702 (multiplicity 4)
Ag: 0.184 0.500 0.415 (multiplicity 4)

---

# 3
Compound: Ga6AgI12
Source: the Alexandria database
Functional: GGA-PBE
Structure: relaxed

Summary:
Fermi-level density of states	0.35	states/eV/atom
uncorrected formation energy	-0.341	eV/atom

Lattice parameters (Å, degrees): 8.665 10.945 11.532 63.77 70.43 79.07
Space group P-1 (No. 2)
One atom of each set of equivalent atoms:
Ga: 0.005 0.335 0.238 (multiplicity 2)
Ga: 0.157 0.272 0.048 (multiplicity 2)
Ga: 0.247 0.905 0.866 (multiplicity 2)
Ag: 0.500 0.500 0.000 (multiplicity 1)
I: 0.027 0.387 0.835 (multiplicity 2)
I: 0.127 0.008 0.128 (multiplicity 2)
I: 0.141 0.260 0.424 (multiplicity 2)
I: 0.293 0.747 0.685 (multiplicity 2)
I: 0.427 0.118 0.680 (multiplicity 2)
I: 0.481 0.303 0.931 (multiplicity 2)

---

# 4
Compound: CaLaSb2
Source: the Alexandria database
Functional: GGA-PBE
Structure: relaxed

Summary:
Fermi-level density of states	0.62	states/eV/atom
uncorrected formation energy	-0.951	eV/atom
E above lowest polymorph	23.2	meV/atom

Lattice parameters (Å, degrees): 4.7413 4.7413 21.2356 90.00 90.00 120.00
Space group R3m (No. 160, hexagonal axes)
One atom of each set of equivalent atoms:
Ca: 0.0000 0.0000 0.0000 (multiplicity 3)
La: 0.0000 0.0000 0.1740 (multiplicity 3)
Sb: 0.0000 0.0000 0.5912 (multiplicity 3)
Sb: 0.0000 0.0000 0.7526 (multiplicity 3)

---

# 5
Compound: MgGa4Ag2
Source: the Alexandria database
Functional: GGA-PBE
Structure: relaxed

Summary:
Fermi-level density of states	0.20	states/eV/atom
total energy	-2.774	eV/atom

Lattice parameters (Å, degrees): 5.535 8.722 5.629 90.00 90.00 90.00
Space group Imm2 (No. 44)
One atom of each set of equivalent atoms:
Mg: 0.000 0.000 0.000 (multiplicity 2)
Ga: 0.233 0.218 0.514 (multiplicity 8)
Ag: 0.000 0.500 0.267 (multiplicity 2)
Ag: 0.000 0.500 0.757 (multiplicity 2)

---

# 6
Compound: Rb3TaS4
Source: the Alexandria database
Functional: GGA-PBE
Structure: relaxed

Summary:
Fermi-level density of states	0.00	states/eV/atom
uncorrected formation energy	-1.286	eV/atom

Lattice parameters (Å, degrees): 9.711 11.283 9.879 90.00 90.00 90.00
Space group Pnma (No. 62)
One atom of each set of equivalent atoms:
Rb: 0.054 0.044 0.212 (multiplicity 8)
Rb: 0.140 0.750 0.423 (multiplicity 4)
Ta: 0.218 0.750 0.987 (multiplicity 4)
S: 0.002 0.750 0.081 (multiplicity 4)
S: 0.167 0.082 0.551 (multiplicity 8)
S: 0.198 0.750 0.756 (multiplicity 4)

---

# 7
Compound: NdZn2Ag5
Source: the Alexandria database
Functional: GGA-PBE
Structure: relaxed

Summary:
Fermi-level density of states	0.52	states/eV/atom
total energy	-2.805	eV/atom

Lattice parameters (Å, degrees): 3.954 7.894 10.176 90.00 90.00 90.00
Space group Immm (No. 71)
One atom of each set of equivalent atoms:
Nd: 0.000 0.000 0.000 (multiplicity 2)
Zn: 0.000 0.500 0.262 (multiplicity 4)
Ag: 0.000 0.193 0.356 (multiplicity 8)
Ag: 0.000 0.500 0.000 (multiplicity 2)

---

# 8
Compound: V4CrGa
Source: the Alexandria database
Functional: GGA-PBE
Structure: relaxed

Summary:
Fermi-level density of states	1.37	states/eV/atom
E above lowest polymorph	3.9	meV/atom

Lattice parameters (Å, degrees): 2.567 4.173 7.453 90.00 91.43 90.00
Space group P2/m (No. 10)
One atom of each set of equivalent atoms:
V: 0.143 0.000 0.179 (multiplicity 2)
V: 0.195 0.500 0.659 (multiplicity 2)
Cr: 0.500 0.000 0.500 (multiplicity 1)
Ga: 0.500 0.500 0.000 (multiplicity 1)

---

# 9
Compound: Ga3Sn2Pb2
Source: the Alexandria database
Functional: GGA-PBE
Structure: relaxed

Summary:
Fermi-level density of states	0.36	states/eV/atom
total energy	-3.450	eV/atom

Lattice parameters (Å, degrees): 12.983 4.125 7.656 90.00 119.24 90.00
Space group C2/m (No. 12)
One atom of each set of equivalent atoms:
Ga: 0.000 0.000 0.000 (multiplicity 2)
Ga: 0.072 0.000 0.420 (multiplicity 4)
Sn: 0.178 0.500 0.277 (multiplicity 4)
Pb: 0.137 0.500 0.816 (multiplicity 4)

---

# 10
Compound: NbZnI2N
Source: the Alexandria database
Functional: GGA-PBE
Structure: relaxed

Summary:
Fermi-level density of states	0.55	states/eV/atom
uncorrected formation energy	0.118	eV/atom
E above lowest polymorph	0.0	meV/atom

Lattice parameters (Å, degrees): 5.759 5.759 3.936 90.00 90.00 90.00
Space group P4/mmm (No. 123)
One atom of each set of equivalent atoms:
Nb: 0.000 0.000 0.000 (multiplicity 1)
Zn: 0.500 0.500 0.500 (multiplicity 1)
I: 0.000 0.500 0.000 (multiplicity 2)
N: 0.000 0.000 0.500 (multiplicity 1)

---

# 11
Compound: Fe3RePt
Source: the Alexandria database
Functional: GGA-PBE
Structure: relaxed

Summary:
Fermi-level density of states	1.31	states/eV/atom
E above lowest polymorph	0.0	meV/atom

Lattice parameters (Å, degrees): 4.421 4.421 4.421 90.00 90.00 90.00
Space group Pm-3m (No. 221)
One atom of each set of equivalent atoms:
Fe: 0.000 0.000 0.500 (multiplicity 3)
Re: 0.000 0.000 0.000 (multiplicity 1)
Pt: 0.500 0.500 0.500 (multiplicity 1)

---

# 12
Compound: AcLa2Mg3
Source: the Alexandria database
Functional: GGA-PBE
Structure: relaxed

Summary:
Fermi-level density of states	1.22	states/eV/atom
total energy	-3.227	eV/atom

Lattice parameters (Å, degrees): 4.021 4.021 12.028 90.00 90.00 90.00
Space group P4/mmm (No. 123)
One atom of each set of equivalent atoms:
Ac: 0.000 0.000 0.000 (multiplicity 1)
La: 0.000 0.000 0.339 (multiplicity 2)
Mg: 0.500 0.500 0.179 (multiplicity 2)
Mg: 0.500 0.500 0.500 (multiplicity 1)

---

# 13
Compound: TlTeIrRu2
Source: the Alexandria database
Functional: GGA-PBE
Structure: relaxed

Summary:
Fermi-level density of states	1.53	states/eV/atom
uncorrected formation energy	1.247	eV/atom

Lattice parameters (Å, degrees): 4.808 4.808 5.162 90.00 90.00 90.00
Space group P4/mmm (No. 123)
One atom of each set of equivalent atoms:
Tl: 0.000 0.000 0.000 (multiplicity 1)
Te: 0.500 0.500 0.000 (multiplicity 1)
Ir: 0.000 0.000 0.500 (multiplicity 1)
Ru: 0.000 0.500 0.500 (multiplicity 2)

---

# 14
Compound: SrCdPtAu
Source: the Alexandria database
Functional: GGA-PBE
Structure: relaxed

Summary:
Fermi-level density of states	0.10	states/eV/atom
total energy	-3.430	eV/atom

Lattice parameters (Å, degrees): 7.119 7.119 7.119 90.00 90.00 90.00
Space group F-43m (No. 216)
One atom of each set of equivalent atoms:
Sr: 0.000 0.000 0.000 (multiplicity 4)
Cd: 0.000 0.000 0.500 (multiplicity 4)
Pt: 0.250 0.250 0.750 (multiplicity 4)
Au: 0.250 0.250 0.250 (multiplicity 4)

---

# 15
Compound: TaSnBiAs2
Source: the Alexandria database
Functional: GGA-PBE
Structure: relaxed

Summary:
Fermi-level density of states	1.36	states/eV/atom
total energy	-4.219	eV/atom

Lattice parameters (Å, degrees): 5.073 5.073 5.637 90.00 90.00 90.00
Space group P4/mmm (No. 123)
One atom of each set of equivalent atoms:
Ta: 0.000 0.000 0.000 (multiplicity 1)
Sn: 0.500 0.500 0.500 (multiplicity 1)
Bi: 0.500 0.500 0.000 (multiplicity 1)
As: 0.000 0.500 0.500 (multiplicity 2)

---

# 16
Compound: Pm2OsPdO8
Source: the Alexandria database
Functional: GGA-PBE
Structure: relaxed

Summary:
Fermi-level density of states	0.10	states/eV/atom
uncorrected formation energy	-1.830	eV/atom

Lattice parameters (Å, degrees): 4.290 5.428 7.060 81.01 81.38 84.51
Space group P-1 (No. 2)
One atom of each set of equivalent atoms:
Pm: 0.160 0.033 0.224 (multiplicity 2)
Os: 0.500 0.500 0.500 (multiplicity 1)
Pd: 0.500 0.500 0.000 (multiplicity 1)
O: 0.215 0.786 0.528 (multiplicity 2)
O: 0.231 0.297 0.660 (multiplicity 2)
O: 0.283 0.849 0.940 (multiplicity 2)
O: 0.315 0.442 0.279 (multiplicity 2)